A relaxed CsHg3N crystal, computed with PBE.

abc: 7.7415 7.7415 7.7415
angles: 90.00 90.00 90.00
Site moments in Bohr magnetons follow the coordinates.
Element x y z (fractional)
Cs 0.0000 0.0000 0.0000  0.00
Hg 0.0000 0.5000 0.0000  -0.01
Hg 0.0000 0.0000 0.5000  0.00
Hg 0.5000 0.0000 0.0000  -0.01
N 0.5000 0.5000 0.5000  1.69

Results
Polymorph energy (0 for the lowest one) ... 0.441 eV/atom
Raw formation energy ... 1.057 eV per atom